[1]
DFT (PBE) results for a relaxed Dy6NiRu2 crystal.

DFT formation energy in eV per atom: -0.304

```
Dy6NiRu2
1.0
6.479 0.000 0.000
0.000 7.362 0.000
-6.220 0.000 9.424
Dy Ni Ru
12 2 4
Cartesian
-0.937 0.354 2.288
-4.047 3.327 7.000
1.043 4.963 0.662
-2.067 6.079 5.374
2.161 1.284 0.633
-0.949 2.397 5.345
1.208 4.965 4.080
-1.902 6.078 8.792
2.327 1.283 4.050
-0.783 2.398 8.763
4.307 4.035 2.424
1.197 7.008 7.137
0.130 0.000 4.712
3.240 3.681 0.000
-2.786 0.865 7.181
0.324 2.816 2.469
-0.065 4.546 6.955
3.045 6.497 2.243
```

***

[2]
DFT (PBE) results for a relaxed TbDy4Sc2 crystal.

DFT formation energy in eV per atom: 0.275
Distance to the lowest polymorph of the same formula in meV/atom: 130.6

```
TbDy4Sc2
1.0
8.922 0.000 0.000
0.000 8.922 0.000
0.000 0.000 5.540
Tb Dy Sc
2 8 4
Cartesian
0.000 0.000 0.000
4.461 4.461 2.770
0.931 3.233 0.000
1.228 5.392 2.770
3.233 0.931 0.000
3.530 7.694 2.770
5.392 1.228 2.770
5.689 7.991 0.000
7.694 3.530 2.770
7.991 5.689 0.000
1.677 1.677 2.770
2.784 6.138 0.000
6.138 2.784 0.000
7.245 7.245 2.770
```

***

[3]
DFT (PBE) results for a relaxed SrCoSi2 crystal.

E_form (uncorrected) in eV/atom: 0.125

```
SrCoSi2
1.0
-2.076 2.971 3.556
2.076 -2.971 3.556
2.076 2.971 -3.556
Sr Co Si
1 1 2
Cartesian
0.000 0.000 0.000
0.000 2.971 0.944
2.076 0.000 2.312
0.000 0.000 3.759
```

***

[4]
DFT (PBE) results for a relaxed YMg2Hg crystal.

DFT formation energy in eV per atom: -0.222

```
YMg2Hg
1.0
3.423 0.000 0.000
0.000 4.754 0.000
-1.699 0.000 6.070
Y Mg Hg
1 2 1
Cartesian
0.000 0.000 0.000
0.013 2.377 4.074
1.715 0.000 2.870
1.707 2.377 1.206
```

***

[5]
DFT (PBE) results for a relaxed La2Ga5Tc crystal.

DFT formation energy in eV per atom: -0.418

```
La2Ga5Tc
1.0
-3.117 3.117 4.654
3.117 -3.117 4.654
3.117 3.117 -4.654
La Ga Tc
2 5 1
Cartesian
3.117 0.000 0.000
0.000 3.117 0.000
0.000 0.000 0.268
1.776 1.776 -2.378
1.341 -1.341 2.276
-1.341 1.341 2.276
1.341 1.341 2.276
0.000 0.000 7.089
```

***

[6]
DFT (PBE) results for a relaxed SrTaAg crystal.

DFT formation energy in eV per atom: 0.346
Distance to the lowest polymorph of the same formula in meV/atom: 115.5

```
SrTaAg
1.0
11.110 -2.138 0.000
11.110 2.138 0.000
-0.516 0.000 3.361
Sr Ta Ag
2 2 2
Cartesian
0.000 0.000 0.000
3.997 0.000 0.613
6.868 0.000 2.791
18.133 0.000 1.095
9.327 0.000 1.448
12.739 0.000 1.969
```